The following is a PBE+U calculation of crystalline ZnMoP2O8 at its relaxed geometry, from the Alexandria database.

Calculated values
DOS(E_F): 3.16 states/eV per cell
Spin magnetization: 2.00 μB per cell
Space group: No. 119
Energy: -6.711 eV/atom

abc: 5.5178 5.5178 5.5178
angles: 106.57 106.57 115.44
Last column: nearest neighbours and their distance in Å.
Fractional positions:
Zn  0.0000  0.0000  0.0000  8 O 2.17-2.30
Mo  0.7500  0.2500  0.5000  8 O 2.15-2.27
P  0.2500  0.7500  0.5000  4 O 1.55
P  0.5000  0.5000  0.0000  4 O 1.55
O  0.0787  0.3999  0.3212  1 P 1.55
O  0.0787  0.7576  0.6788  1 P 1.55
O  0.1504  0.3322  0.8182  1 P 1.55
O  0.2424  0.9213  0.3212  1 P 1.55
O  0.5140  0.3322  0.1818  1 P 1.55
O  0.6001  0.9213  0.6788  1 P 1.55
O  0.6678  0.4860  0.8182  1 P 1.55
O  0.6678  0.8496  0.1818  1 P 1.55